(1)
Here is a relaxed NbHg crystal from Alexandria. Energies are from PBE.

Unit cell a=4.7227 b=4.7227 c=5.5402 alpha=90.00 beta=90.00 gamma=120.00
Last column: nearest neighbours and their distance in Å.
Atoms (fractional coordinates):
1 Nb 0.3333 0.6667 0.2500  5 Hg 2.73-2.77
2 Hg 0.6667 0.3333 0.2500  5 Nb 2.73-2.77
3 Hg 0.3333 0.6667 0.7500  5 Nb 2.73-2.77
4 Nb 0.6667 0.3333 0.7500  5 Hg 2.73-2.77

Computed properties:
SG	P6_3/mmc
crystal system	hexagonal
DFT formation energy	2.677	eV/f.u.

(2)
Here is a relaxed Sr4Ir6O19 crystal from Alexandria. Energies are from PBE.

Unit cell a=8.1332 b=8.1332 c=8.1332 alpha=109.47 beta=109.47 gamma=109.47
Last column: nearest neighbours and their distance in Å.
Atoms (fractional coordinates):
1 Sr 0.2948 0.2948 0.2948  4 O 2.40-2.67
2 O 0.7068 0.3648 0.6587  2 Ir 1.94-1.95
3 Sr 0.7052 0.0000 0.0000  4 O 2.40-2.67
4 O 0.3570 0.0000 0.3570  2 Ir 2.01
5 O 0.6587 0.7068 0.3648  2 Ir 1.94-1.95
6 O 0.0480 0.3413 0.7060  2 Ir 1.94-1.95
7 Sr 0.0000 0.7052 0.0000  4 O 2.40-2.67
8 O 0.3413 0.7060 0.0480  2 Ir 1.94-1.95
9 O 0.2932 0.9520 0.6580  2 Ir 1.94-1.95
10 O 0.0000 0.0000 0.0000  4 Sr 2.40
11 O 0.7060 0.0480 0.3413  2 Ir 1.94-1.95
12 Ir 0.5000 0.8404 0.3404  6 O 1.94-2.01
13 O 0.6430 0.6430 0.0000  2 Ir 2.01
14 O 0.3570 0.3570 0.0000  2 Ir 2.01
15 O 0.9520 0.6580 0.2932  2 Ir 1.94-1.95
16 Ir 0.8404 0.3404 0.5000  6 O 1.94-2.01
17 O 0.3420 0.2940 0.6352  2 Ir 1.94-1.95
18 O 0.6430 0.0000 0.6430  2 Ir 2.01
19 O 0.6580 0.2932 0.9520  2 Ir 1.94-1.95
20 Ir 0.1596 0.6596 0.5000  6 O 1.94-2.01
21 O 0.2940 0.6352 0.3420  2 Ir 1.94-1.95
22 O 0.0000 0.3570 0.3570  2 Ir 2.01
23 Ir 0.5000 0.1596 0.6596  6 O 1.94-2.01
24 O 0.6352 0.3420 0.2940  2 Ir 1.94-1.95
25 Ir 0.3404 0.5000 0.8404  6 O 1.94-2.01
26 O 0.0000 0.6430 0.6430  2 Ir 2.01
27 Ir 0.6596 0.5000 0.1596  6 O 1.94-2.01
28 O 0.3648 0.6587 0.7068  2 Ir 1.94-1.95
29 Sr 0.0000 0.0000 0.7052  4 O 2.40-2.67

Computed properties:
SG	I23
crystal system	cubic
ΔE_f (raw)	-1406	meV/atom

(3)
Here is a relaxed CeSi2Ni6 crystal from Alexandria. Energies are from PBE.

Unit cell a=4.0366 b=4.0366 c=7.4578 alpha=90.00 beta=90.00 gamma=90.00
Last column: nearest neighbours and their distance in Å.
Atoms (fractional coordinates):
1 Ni 0.5000 0.0000 0.6901  2 Si 2.29, 4 Ni 2.47
2 Ni 0.0000 0.5000 0.3099  2 Si 2.29, 4 Ni 2.47
3 Ni 0.0000 0.0000 0.5000  8 Ni 2.47
4 Ni 0.0000 0.5000 0.6901  2 Si 2.29, 4 Ni 2.47
5 Ce 0.0000 0.0000 0.0000  8 Ni 3.07, 8 Si 3.11
6 Ni 0.5000 0.0000 0.3099  2 Si 2.29, 4 Ni 2.47
7 Si 0.5000 0.5000 0.1653  5 Ni 2.29-2.50, 1 Si 2.47
8 Ni 0.5000 0.5000 0.5000  8 Ni 2.47, 2 Si 2.50
9 Si 0.5000 0.5000 0.8347  5 Ni 2.29-2.50, 1 Si 2.47

Computed properties:
SG	P4/mmm
crystal system	tetragonal
ΔE_f (raw)	-395	meV/atom

The records above give, respectively, calculated volume values of 26.75 14.28 13.50 Å³ per atom.
The records above give, respectively, density values of 9.11 7.25 7.49 g cm⁻³.